# 1
## Li2LaSc (GGA-PBE)

Data for an optimized crystal structure of Li2LaSc.

Values from the calculation:
**ΔE to the lowest computed polymorph**: 97 meV per atom
**D(E_F)**: 4.2 states/eV/cell
**Size of the total moment**: 0.00 μB per formula unit
**Calculated total energy**: -3.576 eV/atom
**Energy of formation**: 196 meV per atom

Geometry as CIF:
```
data_Li2LaSc
_symmetry_space_group_name_H-M 'P 1 2/m 1'
_symmetry_Int_Tables_number 10
_cell_length_a 3.266
_cell_length_b 5.373
_cell_length_c 5.989
_cell_angle_alpha 90.00
_cell_angle_beta 97.06
_cell_angle_gamma 90.00
loop_
_symmetry_equiv_pos_as_xyz
'x,y,z'
'-x,-y,-z'
'-x,y,-z'
'x,-y,z'
loop_
_atom_site_label
_atom_site_type_symbol
_atom_site_fract_x
_atom_site_fract_y
_atom_site_fract_z
Li1 Li 0.242 0.000 0.282
La1 La 0.500 0.500 0.000
Sc1 Sc 0.000 0.500 0.500
```

---

# 2
## HfCu (GGA-PBE)

Data for an optimized crystal structure of HfCu.

Values from the calculation:
**D(E_F)**: 7.1 states/eV/cell
**Size of the total moment**: 0.00 μB per formula unit
**Calculated total energy**: -6.831 eV/atom
**Energy of formation**: 194 meV per atom

Geometry as CIF:
```
data_HfCu
_symmetry_space_group_name_H-M 'P 42/m n m'
_symmetry_Int_Tables_number 136
_symmetry_space_group_name_Hall '-P 4n 2n'
_cell_length_a 5.212
_cell_length_b 5.212
_cell_length_c 5.372
_cell_angle_alpha 90.00
_cell_angle_beta 90.00
_cell_angle_gamma 90.00
loop_
_atom_site_label
_atom_site_type_symbol
_atom_site_fract_x
_atom_site_fract_y
_atom_site_fract_z
Hf1 Hf 0.202 0.202 0.000
Cu1 Cu 0.181 0.181 0.500
```

---

# 3
## InP2Au (GGA-PBE)

Data for an optimized crystal structure of InP2Au.

Values from the calculation:
**D(E_F)**: 1.3 states/eV/cell
**Size of the total moment**: 0.00 μB per formula unit
**Calculated total energy**: -3.963 eV/atom
**Energy of formation**: 246 meV per atom

Geometry as CIF:
```
data_InP2Au
_symmetry_space_group_name_H-M 'P 4 m m'
_symmetry_Int_Tables_number 99
_cell_length_a 3.228
_cell_length_b 3.228
_cell_length_c 7.198
_cell_angle_alpha 90.00
_cell_angle_beta 90.00
_cell_angle_gamma 90.00
loop_
_symmetry_equiv_pos_as_xyz
'x,y,z'
'-y,x,z'
'-x,-y,z'
'y,-x,z'
'-x,y,z'
'y,x,z'
'x,-y,z'
'-y,-x,z'
loop_
_atom_site_label
_atom_site_type_symbol
_atom_site_fract_x
_atom_site_fract_y
_atom_site_fract_z
In1 In 0.000 0.000 0.000
P1 P 0.000 0.000 0.456
P2 P 0.500 0.500 0.337
Au1 Au 0.500 0.500 0.740
```

---

# 4
## Sm6Os2Pt (GGA-PBE)

Data for an optimized crystal structure of Sm6Os2Pt.

Values from the calculation:
**D(E_F)**: 13.7 states/eV/cell
**Size of the total moment**: 0.00 μB per formula unit
**Calculated total energy**: -6.602 eV/atom
**Energy of formation**: -289 meV per atom

Geometry as CIF:
```
data_Sm6Os2Pt
_symmetry_space_group_name_H-M 'P 1 21/c 1'
_symmetry_Int_Tables_number 14
_cell_length_a 6.822
_cell_length_b 7.523
_cell_length_c 11.815
_cell_angle_alpha 90.00
_cell_angle_beta 124.44
_cell_angle_gamma 90.00
loop_
_symmetry_equiv_pos_as_xyz
'x,y,z'
'-x,-y,-z'
'-x,y+1/2,-z+1/2'
'x,-y+1/2,z+1/2'
loop_
_atom_site_label
_atom_site_type_symbol
_atom_site_fract_x
_atom_site_fract_y
_atom_site_fract_z
Sm1 Sm 0.073 0.058 0.240
Sm2 Sm 0.227 0.673 0.073
Sm3 Sm 0.394 0.168 0.072
Os1 Os 0.291 0.114 0.755
Pt1 Pt 0.500 0.000 0.500
```

---

# 5
## Li2ErAgF6 (GGA-PBE)

Data for an optimized crystal structure of Li2ErAgF6.

Values from the calculation:
**D(E_F)**: 0.0 states/eV/cell
**Size of the total moment**: 0.11 μB per formula unit
**Calculated total energy**: -5.235 eV/atom
**ΔE_f (raw)**: -2.99 eV per atom

Geometry as CIF:
```
data_Li2ErAgF6
_symmetry_space_group_name_H-M 'R 3'
_symmetry_Int_Tables_number 146
_symmetry_space_group_name_Hall 'R 3'
_cell_length_a 5.5369
_cell_length_b 5.5369
_cell_length_c 14.5238
_cell_angle_alpha 90.00
_cell_angle_beta 90.00
_cell_angle_gamma 120.00
loop_
_atom_site_label
_atom_site_type_symbol
_atom_site_fract_x
_atom_site_fract_y
_atom_site_fract_z
Li1 Li 0.0000 0.0000 0.0000
Li2 Li 0.0000 0.0000 0.4948
Er1 Er 0.0000 0.0000 0.7864
Ag1 Ag 0.0000 0.0000 0.2662
F1 F 0.0024 0.3649 0.7331
F2 F 0.0943 0.7430 0.5584
```

---

# 6
## ZrCd2Te (GGA-PBE)

Data for an optimized crystal structure of ZrCd2Te.

Values from the calculation:
**D(E_F)**: 13.7 states/eV/cell
**Size of the total moment**: 0.00 μB per formula unit
**Calculated total energy**: -3.361 eV/atom
**ΔE_f (raw)**: 0.02 eV per atom

Geometry as CIF:
```
data_ZrCd2Te
_symmetry_space_group_name_H-M 'I -4 2 d'
_symmetry_Int_Tables_number 122
_symmetry_space_group_name_Hall 'I -4 2bw'
_cell_length_a 8.410
_cell_length_b 8.410
_cell_length_c 5.775
_cell_angle_alpha 90.00
_cell_angle_beta 90.00
_cell_angle_gamma 90.00
loop_
_atom_site_label
_atom_site_type_symbol
_atom_site_fract_x
_atom_site_fract_y
_atom_site_fract_z
Zr1 Zr 0.000 0.000 0.000
Cd1 Cd 0.249 0.250 0.625
Te1 Te 0.000 0.000 0.500
```